Entry 1:
# MgTlPd

Crystalline MgTlPd at its relaxed geometry (PBE, OQMD via LeMat-Bulk).

Properties
- E: -3.04 eV/atom

Unit cell a=6.4989 b=6.4989 c=6.4989 alpha=90.00 beta=90.00 gamma=90.00
With the nearest neighbours (Å) after each atom.
Fractional coordinates of all 12 atoms:
Mg1 0.0000 0.0000 0.0000  4 Tl 2.81
Mg2 0.0000 0.5000 0.5000  4 Tl 2.81
Mg3 0.5000 0.0000 0.5000  4 Tl 2.81
Mg4 0.5000 0.5000 0.0000  4 Tl 2.81
Tl1 0.2500 0.2500 0.2500  4 Pd 2.81, 4 Mg 2.81
Tl2 0.2500 0.7500 0.7500  4 Mg 2.81, 4 Pd 2.81
Tl3 0.7500 0.2500 0.7500  4 Mg 2.81, 4 Pd 2.81
Tl4 0.7500 0.7500 0.2500  4 Mg 2.81, 4 Pd 2.81
Pd1 0.0000 0.0000 0.5000  4 Tl 2.81
Pd2 0.0000 0.5000 0.0000  4 Tl 2.81
Pd3 0.5000 0.0000 0.0000  4 Tl 2.81
Pd4 0.5000 0.5000 0.5000  4 Tl 2.81



Entry 2:
# AlAu

Crystalline AlAu at its relaxed geometry (PBE, OQMD via LeMat-Bulk).

Properties
- E: -3.56 eV/atom

Unit cell a=4.0917 b=4.0917 c=6.7018 alpha=90.00 beta=90.00 gamma=120.00
With the nearest neighbours (Å) after each atom.
Fractional coordinates of all 4 atoms:
Al1 0.3333 0.6667 0.0000  4 Au 2.51
Al2 0.6667 0.3333 0.5000  4 Au 2.51
Au1 0.3333 0.6667 0.3752  4 Al 2.51
Au2 0.6667 0.3333 0.8752  4 Al 2.51



Entry 3:
# GeMoAs2

Crystalline GeMoAs2 at its relaxed geometry (PBE, OQMD via LeMat-Bulk).

Properties
- E: -5.69 eV/atom

Unit cell a=6.4707 b=6.4707 c=6.4707 alpha=90.00 beta=90.00 gamma=90.00
With the nearest neighbours (Å) after each atom.
Fractional coordinates of all 16 atoms:
Ge1 0.0000 0.0000 0.0000  4 As 2.80, 4 Mo 2.80
Ge2 0.0000 0.5000 0.5000  4 As 2.80, 4 Mo 2.80
Ge3 0.5000 0.0000 0.5000  4 As 2.80, 4 Mo 2.80
Ge4 0.5000 0.5000 0.0000  4 As 2.80, 4 Mo 2.80
Mo1 0.2500 0.2500 0.2500  4 Ge 2.80, 4 As 2.80
Mo2 0.2500 0.7500 0.7500  4 Ge 2.80, 4 As 2.80
Mo3 0.7500 0.2500 0.7500  4 Ge 2.80, 4 As 2.80
Mo4 0.7500 0.7500 0.2500  4 Ge 2.80, 4 As 2.80
As1 0.0000 0.0000 0.5000  4 As 2.80, 4 Mo 2.80
As2 0.0000 0.5000 0.0000  4 As 2.80, 4 Mo 2.80
As3 0.2500 0.2500 0.7500  4 Ge 2.80, 4 As 2.80
As4 0.2500 0.7500 0.2500  4 Ge 2.80, 4 As 2.80
As5 0.5000 0.0000 0.0000  4 As 2.80, 4 Mo 2.80
As6 0.5000 0.5000 0.5000  4 As 2.80, 4 Mo 2.80
As7 0.7500 0.2500 0.2500  4 Ge 2.80, 4 As 2.80
As8 0.7500 0.7500 0.7500  4 As 2.80, 4 Ge 2.80



Entry 4:
# TbGdC2Br2

Crystalline TbGdC2Br2 at its relaxed geometry (PBE, OQMD via LeMat-Bulk).

Properties
- E: -6.26 eV/atom

Unit cell a=7.1159 b=3.8197 c=11.0231 alpha=90.00 beta=94.51 gamma=90.00
With the nearest neighbours (Å) after each atom.
Fractional coordinates of all 12 atoms:
Tb1 0.0000 0.0000 0.0000  1 C 2.34
Tb2 0.5000 0.5000 0.0000  1 C 2.34
Gd1 0.2104 0.5000 0.7354  1 C 2.36
Gd2 0.7104 0.0000 0.7354  1 C 2.36
C1 0.2805 0.0000 0.9019  1 C 1.33
C2 0.4299 0.0000 0.8359  1 C 1.33
C3 0.7805 0.5000 0.9019  1 C 1.33
C4 0.9299 0.5000 0.8359  1 C 1.33
Br1 0.0320 0.0000 0.5629  3 Gd 2.91-3.09
Br2 0.1773 0.5000 0.1710  3 Tb 2.90-3.08
Br3 0.5320 0.5000 0.5629  3 Gd 2.91-3.09
Br4 0.6773 0.0000 0.1710  3 Tb 2.90-3.08